{
  "formula": "Pm7Dy2Tm3",
  "functional": "PBE-GGA",
  "state": "relaxed",
  "lattice_angstrom": [[-3.505, 0.280, -0.452], [0.180, -4.735, -4.324], [-2.434, -15.053, 9.536]],
  "species": ["Tm", "Tm", "Tm", "Pm", "Pm", "Pm", "Pm", "Pm", "Pm", "Pm", "Dy", "Dy"],
  "fractional_positions": [[0.500, 0.500, 0.000], [0.000, 0.113, 0.341], [0.000, 0.887, 0.659], [0.500, 0.763, 0.495], [0.500, 0.237, 0.505], [0.000, 0.557, 0.166], [0.500, 0.053, 0.172], [0.000, 0.000, 0.000], [0.500, 0.947, 0.828], [0.000, 0.443, 0.834], [0.500, 0.390, 0.671], [0.500, 0.610, 0.329]],
  "magnetic_moment_mub_per_atom": 0.000,
  "formation_enthalpy_0k_ev_per_atom": 0.07
}


{
  "formula": "ZrTiCrTc",
  "functional": "PBE-GGA",
  "state": "relaxed",
  "lattice_angstrom": [[4.531, 0.000, 0.000], [2.265, 3.924, 0.000], [2.265, 1.308, 3.699]],
  "species": ["Cr", "Ti", "Tc", "Zr"],
  "fractional_positions": [[0.750, 0.750, 0.750], [0.500, 0.500, 0.500], [0.250, 0.250, 0.250], [0.000, 0.000, 0.000]],
  "magnetic_moment_mub_per_atom": 0.576,
  "formation_enthalpy_0k_ev_per_atom": -0.13
}